#one
Material: FeNi2Bi2
Method: DFT, PBE
State: relaxed

```
data_FeNi2Bi2
_cell_length_a 7.1265
_cell_length_b 7.1265
_cell_length_c 3.5146
_cell_angle_alpha 90.00
_cell_angle_beta 90.00
_cell_angle_gamma 90.00
_space_group_name_H-M_alt 'P 4/m b m'
_space_group_IT_number 127
_space_group_name_Hall '-P 4 2ab'
loop_
_atom_site_label
_atom_site_fract_x
_atom_site_fract_y
_atom_site_fract_z
Fe1 0.0000 0.0000 0.0000
Ni1 0.1269 0.3731 0.5000
Bi1 0.1699 0.6699 0.0000
```

- M_tot: 0.0 μB/cell

#two
Material: FeNi2Bi2
Method: DFT, PBE
State: relaxed

```
data_FeNi2Bi2
_cell_length_a 3.4308
_cell_length_b 3.4308
_cell_length_c 15.8144
_cell_angle_alpha 90.00
_cell_angle_beta 90.00
_cell_angle_gamma 90.00
_space_group_name_H-M_alt 'I 4/m m m'
_space_group_IT_number 139
_space_group_name_Hall '-I 4 2'
loop_
_atom_site_label
_atom_site_fract_x
_atom_site_fract_y
_atom_site_fract_z
Fe1 0.0000 0.0000 0.0000
Ni1 0.0000 0.5000 0.2500
Bi1 0.0000 0.0000 0.3875
```

- M_tot: 4.3 μB/cell

#three
Material: FeNi2Bi2
Method: DFT, PBE
State: relaxed

```
data_FeNi2Bi2
_cell_length_a 6.8227
_cell_length_b 6.8227
_cell_length_c 3.8813
_cell_angle_alpha 90.00
_cell_angle_beta 90.00
_cell_angle_gamma 90.00
_space_group_name_H-M_alt 'P 4/m b m'
_space_group_IT_number 127
_space_group_name_Hall '-P 4 2ab'
loop_
_atom_site_label
_atom_site_fract_x
_atom_site_fract_y
_atom_site_fract_z
Fe1 0.0000 0.0000 0.0000
Ni1 0.1307 0.3693 0.0000
Bi1 0.1750 0.6750 0.5000
```

- M_tot: 6.6 μB/cell

Which one is the least stable? From the structures above, #one.